[1]
The following is a GGA-PBE calculation of SrTlNiHg2 after structural relaxation, from the Alexandria database.

The calculated formation energy comes out at -0.18 eV per atom. The size of the total moment comes out at 0.0 μB per formula unit. The value obtained for the energy is -11.32 eV/cell.

```
data_SrTlNiHg2
_space_group_name_H-M_alt 'P 4/m m m'
_space_group_IT_number 123
_space_group_name_Hall '-P 4 2'
_cell_length_a 5.135
_cell_length_b 5.135
_cell_length_c 5.040
_cell_angle_alpha 90.00
_cell_angle_beta 90.00
_cell_angle_gamma 90.00
loop_
_atom_site_label
_atom_site_fract_x
_atom_site_fract_y
_atom_site_fract_z
_atom_site_occupancy
Sr1 0.000 0.000 0.000 1
Tl1 0.500 0.500 0.000 1
Ni1 0.500 0.500 0.500 1
Hg1 0.000 0.500 0.500 1
```

---

[2]
The following is a GGA-PBE calculation of Sr2ZnNiHg after structural relaxation, from the Alexandria database.

The calculated formation energy comes out at -0.17 eV per atom. The size of the total moment comes out at 0.0 μB per formula unit. The value obtained for the energy is -11.57 eV/cell.

```
data_Sr2ZnNiHg
_space_group_name_H-M_alt 'P 4/m m m'
_space_group_IT_number 123
_space_group_name_Hall '-P 4 2'
_cell_length_a 5.685
_cell_length_b 5.685
_cell_length_c 4.651
_cell_angle_alpha 90.00
_cell_angle_beta 90.00
_cell_angle_gamma 90.00
loop_
_atom_site_label
_atom_site_fract_x
_atom_site_fract_y
_atom_site_fract_z
_atom_site_occupancy
Sr1 0.000 0.500 0.000 1
Zn1 0.000 0.000 0.500 1
Ni1 0.000 0.000 0.000 1
Hg1 0.500 0.500 0.500 1
```

---

[3]
The following is a GGA-PBE calculation of SrZn2NiHg after structural relaxation, from the Alexandria database.

The calculated formation energy comes out at -0.19 eV per atom. The size of the total moment comes out at 0.0 μB per formula unit. The value obtained for the energy is -11.26 eV/cell.

```
data_SrZn2NiHg
_space_group_name_H-M_alt 'P 4/m m m'
_space_group_IT_number 123
_space_group_name_Hall '-P 4 2'
_cell_length_a 4.726
_cell_length_b 4.726
_cell_length_c 5.045
_cell_angle_alpha 90.00
_cell_angle_beta 90.00
_cell_angle_gamma 90.00
loop_
_atom_site_label
_atom_site_fract_x
_atom_site_fract_y
_atom_site_fract_z
_atom_site_occupancy
Sr1 0.000 0.000 0.000 1
Zn1 0.000 0.500 0.500 1
Ni1 0.500 0.500 0.500 1
Hg1 0.500 0.500 0.000 1
```

---

[4]
The following is a GGA-PBE calculation of TaNiHg2 after structural relaxation, from the Alexandria database.

The calculated formation energy comes out at 0.15 eV per atom. The size of the total moment comes out at 0.0 μB per formula unit. The value obtained for the energy is -17.62 eV/cell.

```
data_TaNiHg2
_space_group_name_H-M_alt 'P m m 2'
_space_group_IT_number 25
_cell_length_a 2.951
_cell_length_b 3.066
_cell_length_c 8.072
_cell_angle_alpha 90.00
_cell_angle_beta 90.00
_cell_angle_gamma 90.00
loop_
_space_group_symop_operation_xyz
'x,y,z'
'-x,-y,z'
'-x,y,z'
'x,-y,z'
loop_
_atom_site_label
_atom_site_fract_x
_atom_site_fract_y
_atom_site_fract_z
_atom_site_occupancy
Ta1 0.000 0.000 0.000 1
Ni1 0.500 0.500 0.816 1
Hg1 0.000 0.000 0.587 1
Hg2 0.500 0.500 0.275 1
```

---

[5]
The following is a GGA-PBE calculation of TaNiHg2 after structural relaxation, from the Alexandria database.

The calculated formation energy comes out at 0.45 eV per atom. The size of the total moment comes out at 0.0 μB per formula unit. The value obtained for the energy is -32.91 eV/cell.

```
data_TaNiHg2
_space_group_name_H-M_alt 'C 1 2/m 1'
_space_group_IT_number 12
_cell_length_a 9.612
_cell_length_b 2.983
_cell_length_c 5.195
_cell_angle_alpha 90.00
_cell_angle_beta 105.01
_cell_angle_gamma 90.00
loop_
_space_group_symop_operation_xyz
'x,y,z'
'-x,-y,-z'
'-x,y,-z'
'x,-y,z'
'x+1/2,y+1/2,z'
'-x+1/2,-y+1/2,-z'
'-x+1/2,y+1/2,-z'
'x+1/2,-y+1/2,z'
loop_
_atom_site_label
_atom_site_fract_x
_atom_site_fract_y
_atom_site_fract_z
_atom_site_occupancy
Ta1 0.000 0.000 0.000 1
Ni1 0.000 0.500 0.500 1
Hg1 0.237 0.000 0.737 1
```

---

[6]
The following is a GGA-PBE calculation of TaNiHg2 after structural relaxation, from the Alexandria database.

The calculated formation energy comes out at 0.48 eV per atom. The size of the total moment comes out at 0.0 μB per formula unit. The value obtained for the energy is -32.60 eV/cell.

```
data_TaNiHg2
_space_group_name_H-M_alt 'I -4 m 2'
_space_group_IT_number 119
_space_group_name_Hall 'I -4 -2'
_cell_length_a 4.278
_cell_length_b 4.278
_cell_length_c 7.750
_cell_angle_alpha 90.00
_cell_angle_beta 90.00
_cell_angle_gamma 90.00
loop_
_atom_site_label
_atom_site_fract_x
_atom_site_fract_y
_atom_site_fract_z
_atom_site_occupancy
Ta1 0.000 0.000 0.000 1
Ni1 0.000 0.500 0.250 1
Hg1 0.000 0.000 0.500 1
Hg2 0.000 0.500 0.750 1
```

---

[7]
The following is a GGA-PBE calculation of TaNi2Hg after structural relaxation, from the Alexandria database.

The calculated formation energy comes out at 0.15 eV per atom. The size of the total moment comes out at 0.0 μB per formula unit. The value obtained for the energy is -46.21 eV/cell.

```
data_TaNi2Hg
_space_group_name_H-M_alt 'C m m m'
_space_group_IT_number 65
_space_group_name_Hall '-C 2 2'
_cell_length_a 6.131
_cell_length_b 6.894
_cell_length_c 2.843
_cell_angle_alpha 90.00
_cell_angle_beta 90.00
_cell_angle_gamma 90.00
loop_
_atom_site_label
_atom_site_fract_x
_atom_site_fract_y
_atom_site_fract_z
_atom_site_occupancy
Ta1 0.000 0.000 0.000 1
Ni1 0.250 0.250 0.500 1
Hg1 0.000 0.500 0.000 1
```

---

[8]
The following is a GGA-PBE calculation of Ta2NiHg after structural relaxation, from the Alexandria database.

The calculated formation energy comes out at 0.10 eV per atom. The size of the total moment comes out at 0.0 μB per formula unit. The value obtained for the energy is -58.81 eV/cell.

```
data_Ta2NiHg
_space_group_name_H-M_alt 'C m m 2'
_space_group_IT_number 35
_cell_length_a 4.092
_cell_length_b 4.129
_cell_length_c 8.073
_cell_angle_alpha 90.00
_cell_angle_beta 90.00
_cell_angle_gamma 90.00
loop_
_space_group_symop_operation_xyz
'x,y,z'
'-x,-y,z'
'-x,y,z'
'x,-y,z'
'x+1/2,y+1/2,z'
'-x+1/2,-y+1/2,z'
'-x+1/2,y+1/2,z'
'x+1/2,-y+1/2,z'
loop_
_atom_site_label
_atom_site_fract_x
_atom_site_fract_y
_atom_site_fract_z
_atom_site_occupancy
Ta1 0.000 0.000 0.000 1
Ta2 0.000 0.500 0.277 1
Ni1 0.000 0.000 0.480 1
Hg1 0.000 0.500 0.717 1
```

---

[9]
The following is a GGA-PBE calculation of TaNi2Hg after structural relaxation, from the Alexandria database.

The calculated formation energy comes out at -0.06 eV per atom. The size of the total moment comes out at 0.0 μB per formula unit. The value obtained for the energy is -23.96 eV/cell.

```
data_TaNi2Hg
_space_group_name_H-M_alt 'P 4/m m m'
_space_group_IT_number 123
_space_group_name_Hall '-P 4 2'
_cell_length_a 3.163
_cell_length_b 3.163
_cell_length_c 6.159
_cell_angle_alpha 90.00
_cell_angle_beta 90.00
_cell_angle_gamma 90.00
loop_
_atom_site_label
_atom_site_fract_x
_atom_site_fract_y
_atom_site_fract_z
_atom_site_occupancy
Ta1 0.000 0.000 0.000 1
Ni1 0.500 0.500 0.211 1
Hg1 0.000 0.000 0.500 1
```

---

[10]
The following is a GGA-PBE calculation of TaNiHg2 after structural relaxation, from the Alexandria database.

The calculated formation energy comes out at 0.43 eV per atom. The size of the total moment comes out at 0.0 μB per formula unit. The value obtained for the energy is -33.03 eV/cell.

```
data_TaNiHg2
_space_group_name_H-M_alt 'I m m m'
_space_group_IT_number 71
_space_group_name_Hall '-I 2 2'
_cell_length_a 2.944
_cell_length_b 4.981
_cell_length_c 9.774
_cell_angle_alpha 90.00
_cell_angle_beta 90.00
_cell_angle_gamma 90.00
loop_
_atom_site_label
_atom_site_fract_x
_atom_site_fract_y
_atom_site_fract_z
_atom_site_occupancy
Ta1 0.000 0.000 0.000 1
Ni1 0.000 0.000 0.500 1
Hg1 0.000 0.500 0.228 1
```

---

[11]
The following is a GGA-PBE calculation of Ta2NiHg after structural relaxation, from the Alexandria database.

The calculated formation energy comes out at 0.20 eV per atom. The size of the total moment comes out at 0.0 μB per formula unit. The value obtained for the energy is -29.01 eV/cell.

```
data_Ta2NiHg
_space_group_name_H-M_alt 'P 1 2/m 1'
_space_group_IT_number 10
_cell_length_a 2.897
_cell_length_b 4.022
_cell_length_c 5.811
_cell_angle_alpha 90.00
_cell_angle_beta 93.84
_cell_angle_gamma 90.00
loop_
_space_group_symop_operation_xyz
'x,y,z'
'-x,-y,-z'
'-x,y,-z'
'x,-y,z'
loop_
_atom_site_label
_atom_site_fract_x
_atom_site_fract_y
_atom_site_fract_z
_atom_site_occupancy
Ta1 0.028 0.000 0.272 1
Ni1 0.500 0.500 0.500 1
Hg1 0.500 0.500 0.000 1
```

---

[12]
The following is a GGA-PBE calculation of TaNiHg2 after structural relaxation, from the Alexandria database.

The calculated formation energy comes out at 0.49 eV per atom. The size of the total moment comes out at 0.0 μB per formula unit. The value obtained for the energy is -16.27 eV/cell.

```
data_TaNiHg2
_space_group_name_H-M_alt 'P m m m'
_space_group_IT_number 47
_cell_length_a 4.044
_cell_length_b 4.067
_cell_length_c 4.374
_cell_angle_alpha 90.00
_cell_angle_beta 90.00
_cell_angle_gamma 90.00
loop_
_space_group_symop_operation_xyz
'x,y,z'
'-x,-y,-z'
'-x,-y,z'
'x,y,-z'
'x,-y,-z'
'-x,y,z'
'-x,y,-z'
'x,-y,z'
loop_
_atom_site_label
_atom_site_fract_x
_atom_site_fract_y
_atom_site_fract_z
_atom_site_occupancy
Ta1 0.000 0.000 0.000 1
Ni1 0.500 0.500 0.000 1
Hg1 0.000 0.500 0.500 1
Hg2 0.500 0.000 0.500 1
```